Mg2CrSb, PBEsol geometry, DFT SCAN; energy above the most stable polymorph in this dataset = 0 meV per atom
1.0
-1.5105 -3.4464 -2.0770
3.8793 -1.7816 0.1351
-0.9693 -1.8272 3.7368
Mg Sb Cr
2 1 1
Cartesian
-0.4847 -0.9136 1.8684
1.9397 -0.8908 0.0676
0.6998 -3.5276 0.8974
-0.7552 -1.7232 -1.0385

MgCrSb2, PBEsol geometry, DFT SCAN; energy above the most stable polymorph in this dataset = 230 meV per atom
1.0
-2.2230 4.4713 -0.5986
-1.2274 1.6013 -4.6067
-4.8318 0.2421 -1.3736
Sb Cr Mg
2 1 1
Cartesian
-2.0705 1.5787 -1.6447
0.0000 0.0000 0.0000
-4.1411 3.1574 -3.2895
-6.2116 4.7360 -4.9342

MgCrSb2, PBEsol geometry, DFT SCAN; energy above the most stable polymorph in this dataset = 0 meV per atom
1.0
4.2172 0.0000 0.0000
0.0000 5.1259 0.0000
-2.1086 -2.5629 3.9905
Cr Mg Sb
1 1 2
Cartesian
2.1086 0.0000 0.0000
0.0000 2.5629 0.0000
0.0000 0.0000 1.8589
2.1086 2.5629 2.1316

MgCr2Sb, PBEsol geometry, DFT SCAN; DFT total energy = -19.473 eV/atom
1.0
3.2823 0.0000 0.0000
0.0000 3.2812 0.0000
0.0000 0.0000 5.9943
Sb Cr Mg
1 2 1
Cartesian
1.6411 1.6406 2.9972
0.0000 0.0000 4.4050
0.0000 0.0000 1.5894
1.6411 1.6406 0.0000

Mg2CrSb, PBEsol geometry, DFT SCAN; energy above the most stable polymorph in this dataset = 95 meV per atom
1.0
-0.1380 0.1099 -4.2004
4.1930 -0.2693 -0.1448
-2.3127 -4.3047 2.0672
Mg Cr Sb
2 1 1
Cartesian
-0.2116 -2.1372 -2.1529
2.0275 -0.0797 -2.1726
1.9539 -2.3268 -0.1251
0.0000 0.0000 0.0000

MgScCr2, PBEsol geometry, DFT SCAN; energy relative to the elements = 47 meV per atom
1.0
-3.4731 -2.7103 -1.0741
-0.7409 -3.7874 2.3810
-3.5922 -0.2811 2.7530
Mg Cr Sc
1 2 1
Cartesian
-3.9031 -3.3894 2.0299
-1.9516 -1.6947 1.0150
0.0000 0.0000 0.0000
-5.8547 -5.0841 3.0449

MgScCr3, PBEsol geometry, DFT SCAN; energy relative to the elements = 1300 meV per atom
1.0
4.6640 0.0000 0.0000
0.0000 4.6640 0.0000
0.0000 0.0000 4.6640
Mg Cr Sc
1 3 1
Cartesian
2.3320 2.3320 2.3320
2.3320 0.0000 0.0000
0.0000 0.0000 2.3320
0.0000 2.3320 0.0000
0.0000 0.0000 0.0000

MgScCr2, PBEsol geometry, DFT SCAN; energy relative to the elements = 729 meV per atom
1.0
2.6138 0.0000 0.0000
-1.3069 4.5985 0.0638
0.0000 -0.5695 5.0486
Cr Mg Sc
2 1 1
Cartesian
0.0000 2.1369 1.3443
1.3069 1.8920 3.7681
1.3069 0.0000 0.0000
0.0000 -0.2848 2.5243

Which formula does entry 3 have? MgCrSb2

Please write out number 4 again, unchanged.
MgCr2Sb, PBEsol geometry, DFT SCAN; DFT total energy = -19.473 eV/atom
1.0
3.2823 0.0000 0.0000
0.0000 3.2812 0.0000
0.0000 0.0000 5.9943
Sb Cr Mg
1 2 1
Cartesian
1.6411 1.6406 2.9972
0.0000 0.0000 4.4050
0.0000 0.0000 1.5894
1.6411 1.6406 0.0000